[1]
The following is a PBE calculation of a geometry-optimized La6PuS8 structure, from Alexandria.

Cell: 11.713 11.713 11.713 Å, 90.00 90.00 90.00°
Space group Fm-3m (No. 225)
One atom of each set of equivalent atoms:
La1 0.000 0.250 0.250 [24 per cell]
Pu1 0.000 0.000 0.000 [4 per cell]
S1 0.000 0.000 0.242 [24 per cell]
S2 0.250 0.250 0.250 [8 per cell]

Calculated values
E_form (uncorrected): -2099.0 meV per atom
VASP energy: -7.227 eV per atom
Density: 5.51 g/cm³
Calculated volume: 1606.8 Å³ per cell
Magnetization: 25.0 μB per cell

***

[2]
The following is a PBE calculation of a geometry-optimized La5PuS8 structure, from Alexandria.

Cell: 8.704 8.704 8.663 Å, 90.00 90.00 90.00°
Space group I-4 (No. 82)
One atom of each set of equivalent atoms:
La1 0.000 0.000 0.000 [2 per cell]
La2 0.126 0.749 0.378 [8 per cell]
Pu1 0.000 0.500 0.750 [2 per cell]
S1 0.073 0.822 0.702 [8 per cell]
S2 0.076 0.674 0.049 [8 per cell]

Calculated values
E_form (uncorrected): -2116.8 meV per atom
VASP energy: -7.259 eV per atom
Density: 6.05 g/cm³
Calculated volume: 656.3 Å³ per cell
Magnetization: 13.5 μB per cell

***

[3]
The following is a PBE calculation of a geometry-optimized LaPu4S5 structure, from Alexandria.

Cell: 13.274 4.003 9.809 Å, 90.00 119.50 90.00°
Space group C2/m (No. 12)
One atom of each set of equivalent atoms:
La1 0.000 0.000 0.000 [2 per cell]
Pu1 0.098 0.500 0.398 [4 per cell]
Pu2 0.202 0.000 0.798 [4 per cell]
S1 0.000 0.000 0.500 [2 per cell]
S2 0.107 0.500 0.895 [4 per cell]
S3 0.204 0.000 0.310 [4 per cell]

Calculated values
E_form (uncorrected): -1835.5 meV per atom
VASP energy: -10.125 eV per atom
Density: 9.33 g/cm³
Calculated volume: 453.7 Å³ per cell
Magnetization: 45.2 μB per cell